--- 1 ---
# In3MoO

A relaxed In3MoO crystal (PBE with a Hubbard U, Alexandria).

Lattice parameters (Å, degrees): 5.460 5.460 5.460 90.00 90.00 90.00
Fractional positions:
In 0.000 0.000 0.500
In 0.000 0.500 0.000
In 0.500 0.000 0.000
Mo 0.000 0.000 0.000
O 0.500 0.500 0.500

Values from the calculation:
Density of states at the Fermi level: 3.93 states/eV/cell

***

--- 2 ---
# In3MoO

A relaxed In3MoO crystal (PBE with a Hubbard U, Alexandria).

Lattice parameters (Å, degrees): 4.798 4.798 4.798 90.00 90.00 90.00
Fractional positions:
In 0.000 0.000 0.500
In 0.000 0.500 0.000
In 0.500 0.000 0.000
Mo 0.500 0.500 0.500
O 0.000 0.000 0.000

Values from the calculation:
Density of states at the Fermi level: 2.89 states/eV/cell

***

The energy of each structure relative to the most stable one, in eV/atom, is as follows: 1 0.775; 2 0.000.

***

--- 1 ---
# InMoO2

A relaxed InMoO2 crystal (PBE with a Hubbard U, Alexandria).

Lattice parameters (Å, degrees): 5.486 5.486 10.329 90.00 90.00 90.00
Fractional positions:
In 0.000 0.000 0.000
In 0.000 0.500 0.250
In 0.500 0.000 0.750
In 0.500 0.500 0.500
Mo 0.000 0.000 0.500
Mo 0.000 0.500 0.750
Mo 0.500 0.000 0.250
Mo 0.500 0.500 0.000
O 0.131 0.250 0.625
O 0.250 0.631 0.875
O 0.250 0.869 0.375
O 0.369 0.250 0.125
O 0.631 0.750 0.125
O 0.750 0.131 0.375
O 0.750 0.369 0.875
O 0.869 0.750 0.625

Values from the calculation:
Density of states at the Fermi level: 8.93 states/eV/cell

***

--- 2 ---
# InMoO2

A relaxed InMoO2 crystal (PBE with a Hubbard U, Alexandria).

Lattice parameters (Å, degrees): 3.254 3.254 19.966 90.00 90.00 120.00
Fractional positions:
In 0.000 0.000 0.000
In 0.333 0.667 0.667
In 0.667 0.333 0.333
Mo 0.000 0.000 0.500
Mo 0.333 0.667 0.167
Mo 0.667 0.333 0.833
O 0.000 0.000 0.113
O 0.000 0.000 0.887
O 0.333 0.667 0.553
O 0.333 0.667 0.780
O 0.667 0.333 0.220
O 0.667 0.333 0.447

Values from the calculation:
Density of states at the Fermi level: 1.04 states/eV/cell

***

--- 3 ---
# InMoO2

A relaxed InMoO2 crystal (PBE with a Hubbard U, Alexandria).

Lattice parameters (Å, degrees): 5.816 5.816 5.816 90.00 90.00 90.00
Fractional positions:
In 0.000 0.000 0.000
In 0.000 0.500 0.500
In 0.500 0.000 0.500
In 0.500 0.500 0.000
Mo 0.000 0.000 0.500
Mo 0.000 0.500 0.000
Mo 0.500 0.000 0.000
Mo 0.500 0.500 0.500
O 0.250 0.250 0.250
O 0.250 0.250 0.750
O 0.250 0.750 0.250
O 0.250 0.750 0.750
O 0.750 0.250 0.250
O 0.750 0.250 0.750
O 0.750 0.750 0.250
O 0.750 0.750 0.750

Values from the calculation:
Density of states at the Fermi level: 4.14 states/eV/cell

***

The energy of each structure relative to the most stable one, in eV/atom, is as follows: 1 0.503; 2 0.000; 3 1.019.

***

--- 1 ---
# RbInMo2O8

A relaxed RbInMo2O8 crystal (PBE with a Hubbard U, Alexandria).

Lattice parameters (Å, degrees): 9.070 9.070 9.070 35.62 35.62 35.62
Fractional positions:
Rb 0.000 0.000 0.000
In 0.500 0.500 0.500
Mo 0.238 0.238 0.238
Mo 0.762 0.762 0.762
O 0.113 0.742 0.495
O 0.258 0.505 0.887
O 0.307 0.307 0.307
O 0.495 0.113 0.742
O 0.505 0.887 0.258
O 0.693 0.693 0.693
O 0.742 0.495 0.113
O 0.887 0.258 0.505

Values from the calculation:
Density of states at the Fermi level: 0.00 states/eV/cell

***

--- 2 ---
# RbInMo2O8

A relaxed RbInMo2O8 crystal (PBE with a Hubbard U, Alexandria).

Lattice parameters (Å, degrees): 5.945 5.945 7.875 90.00 90.00 120.00
Fractional positions:
Rb 0.000 0.000 0.000
In 0.000 0.000 0.500
Mo 0.333 0.667 0.737
Mo 0.667 0.333 0.263
O 0.166 0.332 0.667
O 0.166 0.834 0.667
O 0.332 0.166 0.333
O 0.333 0.667 0.959
O 0.667 0.333 0.041
O 0.668 0.834 0.667
O 0.834 0.166 0.333
O 0.834 0.668 0.333

Values from the calculation:
Density of states at the Fermi level: 0.00 states/eV/cell

***

The energy of each structure relative to the most stable one, in eV/atom, is as follows: 1 0.022; 2 0.000.